Record 1
# PBE SmP2PtO8, relaxed
# total DFT energy (no corrections)	-85.20	eV/cell
# raw formation energy	-23.95	eV/f.u.
# mass density	5.54	g/cm3
data_SmP2PtO8
_chemical_formula_sum 'Sm1 P2 Pt1 O8'
_space_group_name_H-M_alt 'P -3 m 1'
_space_group_IT_number 164
_space_group_name_Hall '-P 3 2"'
_cell_length_a 5.1538
_cell_length_b 5.1538
_cell_length_c 6.9721
_cell_angle_alpha 90.00
_cell_angle_beta 90.00
_cell_angle_gamma 120.00
loop_
_atom_site_label
_atom_site_type_symbol
_atom_site_fract_x
_atom_site_fract_y
_atom_site_fract_z
_atom_site_occupancy
Sm1 Sm 0.0000 0.0000 0.0000 1
P1 P 0.3333 0.6667 0.2202 1
Pt1 Pt 0.0000 0.0000 0.5000 1
O1 O 0.1667 0.3333 0.2836 1
O2 O 0.3333 0.6667 0.0002 1

---

Record 2
# PBE V8Mo2W3, relaxed
# total DFT energy (no corrections)	-388.88	eV/cell
# E_form	0.296	eV per atom
# mass density	9.74	g/cm3
data_V8Mo2W3
_chemical_formula_sum 'V24 Mo6 W9'
_space_group_name_H-M_alt 'R -3 m'
_space_group_IT_number 166
_space_group_name_Hall '-R 3 2"'
_cell_length_a 4.9421
_cell_length_b 4.9421
_cell_length_c 27.8429
_cell_angle_alpha 90.00
_cell_angle_beta 90.00
_cell_angle_gamma 120.00
loop_
_atom_site_label
_atom_site_type_symbol
_atom_site_fract_x
_atom_site_fract_y
_atom_site_fract_z
_atom_site_occupancy
V1 V 0.0000 0.0000 0.2218 1
V2 V 0.0034 0.5017 0.2698 1
Mo1 Mo 0.0000 0.0000 0.1407 1
W1 W 0.0000 0.0000 0.3170 1
W2 W 0.0000 0.0000 0.5000 1

---

Record 3
# PBE Ac4GeRhS2, relaxed
# total DFT energy (no corrections)	-47.21	eV/cell
# raw formation energy	-10.55	eV/f.u.
# mass density	7.72	g/cm3
data_Ac4GeRhS2
_chemical_formula_sum 'Ac4 Ge1 Rh1 S2'
_space_group_name_H-M_alt 'P 1 2/m 1'
_space_group_IT_number 10
_space_group_name_Hall '-P 2y'
_cell_length_a 7.6494
_cell_length_b 4.4036
_cell_length_c 7.7334
_cell_angle_alpha 90.00
_cell_angle_beta 108.61
_cell_angle_gamma 90.00
loop_
_atom_site_label
_atom_site_type_symbol
_atom_site_fract_x
_atom_site_fract_y
_atom_site_fract_z
_atom_site_occupancy
Ac1 Ac 0.2413 0.0000 0.2614 1
Ac2 Ac 0.2428 0.5000 0.7411 1
Ge1 Ge 0.5000 0.5000 0.5000 1
Rh1 Rh 0.0000 0.0000 0.5000 1
S1 S 0.0000 0.5000 0.0000 1
S2 S 0.5000 0.0000 0.0000 1